VASP calculation (GGA-PBE) on an optimized crystal structure of Th2Si4TcRh3.

Results
VASP energy = -7.879 eV/atom
DOS(E_F) = 0.62 states/eV/atom
Raw formation energy = -0.9834 eV per atom
Space-group type = No. 115
Spin magnetization = 0.0 μB per formula unit

abc: 4.2581 4.2581 9.6761
angles: 90.00 90.00 90.00
With the nearest neighbours (Å) after each atom.
Fractional positions:
1 Si 0.0000 0.0000 0.0000  4 Rh 2.44
2 Si 0.0000 0.5000 0.3758  3 Rh 2.44, 2 Tc 2.44
3 Si 0.5000 0.5000 0.0000  4 Rh 2.44
4 Si 0.5000 0.0000 0.6242  3 Rh 2.44, 2 Tc 2.44
5 Tc 0.5000 0.5000 0.5000  4 Si 2.44
6 Rh 0.0000 0.5000 0.1237  5 Si 2.44
7 Rh 0.0000 0.0000 0.5000  4 Si 2.44
8 Rh 0.5000 0.0000 0.8763  5 Si 2.44
9 Th 0.0000 0.5000 0.7500  2 Tc 3.22, 6 Rh 3.22-3.25, 8 Si 3.22-3.25
10 Th 0.5000 0.0000 0.2500  2 Tc 3.22, 6 Rh 3.22-3.25, 8 Si 3.22-3.25